Material: AlZnNi2
Method: DFT, meta-GGA SCAN
State: PBEsol geometry

Lattice parameters (Å, degrees): 4.644 4.644 4.149 108.60 108.60 33.79
Sites, in units of the cell vectors:
Al (0.000, 0.000, 0.000)
Zn (0.762, 0.762, 0.376)
Ni (0.258, 0.258, 0.872)
Ni (0.507, 0.507, 0.503)

- Crystal system: monoclinic

---

Material: AlZn3Ni
Method: DFT, meta-GGA SCAN
State: PBEsol geometry

Lattice parameters (Å, degrees): 4.461 4.461 4.461 90.00 90.00 90.00
Sites, in units of the cell vectors:
Al (0.000, 0.000, 0.000)
Zn (0.000, 0.500, 0.500)
Zn (0.500, 0.000, 0.500)
Zn (0.500, 0.500, 0.000)
Ni (0.500, 0.500, 0.500)

- Crystal system: cubic

---

Material: AlZnNi2
Method: DFT, meta-GGA SCAN
State: PBEsol geometry

Lattice parameters (Å, degrees): 7.932 7.932 7.932 19.31 19.31 19.31
Sites, in units of the cell vectors:
Al (0.000, 0.000, 0.000)
Zn (0.500, 0.500, 0.500)
Ni (0.252, 0.252, 0.252)
Ni (0.748, 0.748, 0.748)

- Crystal system: trigonal

---

Material: AlZnNi2
Method: DFT, meta-GGA SCAN
State: PBEsol geometry

Lattice parameters (Å, degrees): 8.219 8.219 8.219 18.48 18.48 18.48
Sites, in units of the cell vectors:
Al (0.000, 0.000, 0.000)
Zn (0.238, 0.238, 0.238)
Ni (0.491, 0.491, 0.491)
Ni (0.744, 0.744, 0.744)

- Crystal system: trigonal

---

Material: Zr2Al3Ni
Method: DFT, meta-GGA SCAN
State: PBEsol geometry

Lattice parameters (Å, degrees): 5.086 5.086 5.086 62.21 62.21 62.21
Sites, in units of the cell vectors:
Zr (0.126, 0.126, 0.126)
Zr (0.874, 0.874, 0.874)
Al (0.000, 0.500, 0.500)
Al (0.500, 0.000, 0.500)
Al (0.500, 0.500, 0.000)
Ni (0.500, 0.500, 0.500)

- Crystal system: trigonal

---

Material: ZrAl2Ni4
Method: DFT, meta-GGA SCAN
State: PBEsol geometry

Lattice parameters (Å, degrees): 5.097 4.066 9.063 90.00 104.54 90.00
Sites, in units of the cell vectors:
Zr (0.107, 0.250, 0.253)
Zr (0.893, 0.750, 0.747)
Al (0.295, 0.250, 0.922)
Al (0.315, 0.750, 0.546)
Al (0.685, 0.250, 0.454)
Al (0.705, 0.750, 0.078)
Ni (0.103, 0.250, 0.641)
Ni (0.187, 0.750, 0.047)
Ni (0.431, 0.750, 0.818)
Ni (0.432, 0.750, 0.313)
Ni (0.568, 0.250, 0.687)
Ni (0.569, 0.250, 0.182)
Ni (0.813, 0.250, 0.953)
Ni (0.897, 0.750, 0.359)

- Crystal system: monoclinic

---

Material: Zr2AlNi
Method: DFT, meta-GGA SCAN
State: PBEsol geometry

Lattice parameters (Å, degrees): 5.335 5.335 5.335 137.24 137.24 62.07
Sites, in units of the cell vectors:
Zr (0.000, 0.000, 0.000)
Zr (0.750, 0.250, 0.500)
Al (0.500, 0.500, 0.000)
Ni (0.250, 0.750, 0.500)

- Crystal system: tetragonal

---

Material: ZrAlNi2
Method: DFT, meta-GGA SCAN
State: PBEsol geometry

Lattice parameters (Å, degrees): 6.799 6.380 5.257 90.00 90.00 90.00
Sites, in units of the cell vectors:
Zr (0.044, 0.250, 0.166)
Zr (0.456, 0.750, 0.666)
Zr (0.544, 0.250, 0.334)
Zr (0.956, 0.750, 0.834)
Al (0.108, 0.750, 0.335)
Al (0.392, 0.250, 0.835)
Al (0.608, 0.750, 0.165)
Al (0.892, 0.250, 0.665)
Ni (0.184, 0.052, 0.576)
Ni (0.184, 0.448, 0.576)
Ni (0.316, 0.552, 0.076)
Ni (0.316, 0.948, 0.076)
Ni (0.684, 0.052, 0.924)
Ni (0.684, 0.448, 0.924)
Ni (0.816, 0.552, 0.424)
Ni (0.816, 0.948, 0.424)

- Crystal system: orthorhombic

---

Number 1: ΔH_f (0 K) -0.41 eV/atom, N(E_F) 0.401 states/eV per atom. Number 2: ΔH_f (0 K) 0.36 eV/atom, N(E_F) 0.345 states/eV per atom. Number 3: ΔH_f (0 K) -0.29 eV/atom, N(E_F) 0.654 states/eV per atom. Number 4: ΔH_f (0 K) -0.07 eV/atom, N(E_F) 0.796 states/eV per atom. Number 5: ΔH_f (0 K) -0.64 eV/atom, N(E_F) 0.791 states/eV per atom. Number 6: ΔH_f (0 K) -0.59 eV/atom, N(E_F) 0.532 states/eV per atom. Number 7: ΔH_f (0 K) -0.29 eV/atom, N(E_F) 1.022 states/eV per atom. Number 8: ΔH_f (0 K) -0.61 eV/atom, N(E_F) 0.521 states/eV per atom.